Computed, not measured: ZnRe2Te after structural relaxation at the PBE-GGA level of DFT.

```
ZnRe2Te
1.0
-0.2433 -3.2152 -3.7114
1.8379 -4.2741 -1.5892
-3.0412 -3.5075 1.2322
Re Te Zn
2 1 1
direct
0.9919 0.9919 0.9337
0.2648 0.2648 0.2800
0.5081 0.5081 0.4716
0.7352 0.7352 0.8146
```

## Properties
ρ in g/cm³: 14.1
Calculated total energy in eV/f.u.: -26.98
E above lowest polymorph in eV/atom: 0.251
Total magnetization in μB/cell: 0.0
Volume in Å³/cell: 66.55
Uncorrected formation energy in eV/f.u.: 2.33


Computed, not measured: ZnReTe2 after structural relaxation at the PBE-GGA level of DFT.

```
ZnReTe2
1.0
3.8218 0.0000 0.0000
0.0000 3.4753 0.0017
0.0000 0.0278 7.7406
Re Te Zn
1 2 1
direct
0.5000 0.8749 0.6338
0.0000 0.8726 0.8986
0.5000 0.3775 0.3572
0.0000 0.3750 0.6104
```

## Properties
ρ in g/cm³: 8.2
Calculated total energy in eV/f.u.: -18.91
Total magnetization in μB/cell: 0.0
Volume in Å³/cell: 102.81
Uncorrected formation energy in eV/f.u.: 1.09


Computed, not measured: Zn2ReTe after structural relaxation at the PBE-GGA level of DFT.

```
Zn2ReTe
1.0
8.7182 -0.0131 -0.0077
8.1406 3.1205 -0.0077
8.1406 1.5005 2.7361
Re Te Zn
1 1 2
direct
0.5026 0.5026 0.5026
0.7604 0.7604 0.7604
0.9895 0.9895 0.9895
0.2475 0.2475 0.2475
```

## Properties
ρ in g/cm³: 9.9
Calculated total energy in eV/f.u.: -16.47
Total magnetization in μB/cell: 0.0
Volume in Å³/cell: 74.93
Uncorrected formation energy in eV/f.u.: 1.67


Computed, not measured: ZnReTe2 after structural relaxation at the PBE-GGA level of DFT.

```
ZnReTe2
1.0
5.4189 0.0097 0.0000
2.1102 4.9912 0.0000
-3.7645 -2.5004 2.9901
Re Te Zn
1 2 1
direct
0.7500 0.2500 0.5000
0.0000 0.0000 0.0000
0.2500 0.7500 0.5000
0.5000 0.5000 0.0000
```

## Properties
ρ in g/cm³: 10.4
Calculated total energy in eV/f.u.: -16.32
Total magnetization in μB/cell: 0.0
Volume in Å³/cell: 80.81
Uncorrected formation energy in eV/f.u.: 3.68


Computed, not measured: ZnRe2Te after structural relaxation at the PBE-GGA level of DFT.

```
ZnRe2Te
1.0
-1.4462 1.6392 2.0765
-0.9725 -2.5302 1.3200
6.9177 -0.1028 4.8991
Re Te Zn
2 1 1
direct
0.0000 0.0000 0.0219
0.5000 0.5000 0.2093
0.0000 0.0000 0.4413
0.5000 0.5000 0.8274
```

## Properties
ρ in g/cm³: 12.2
Calculated total energy in eV/f.u.: -27.99
E above lowest polymorph in eV/atom: 0.000
Total magnetization in μB/cell: 0.0
Volume in Å³/cell: 77.06
Uncorrected formation energy in eV/f.u.: 1.33


Computed, not measured: Zn2Re2Te after structural relaxation at the PBE-GGA level of DFT.

```
Zn2Re2Te
1.0
3.5625 0.0000 0.0000
0.0000 3.5625 0.0000
1.7812 1.7812 7.7630
Re Zn Te
2 2 1
direct
0.7500 0.2500 0.5000
0.2500 0.7500 0.5000
0.3881 0.3881 0.2237
0.6119 0.6119 0.7763
0.0000 0.0000 0.0000
```

## Properties
ρ in g/cm³: 10.6
Calculated total energy in eV/f.u.: -27.32
E above lowest polymorph in eV/atom: 0.000
Total magnetization in μB/cell: 0.0
Volume in Å³/cell: 98.52
Uncorrected formation energy in eV/f.u.: 3.26


Computed, not measured: Zn2ReTe after structural relaxation at the PBE-GGA level of DFT.

```
Zn2ReTe
1.0
-0.6079 -2.9730 -1.5354
0.4524 -1.6192 2.9562
-5.8701 0.5740 1.2126
Re Te Zn
1 1 2
direct
0.0000 0.0000 0.4793
0.5000 0.5000 0.7273
0.0000 0.0000 0.0414
0.5000 0.5000 0.2520
```

## Properties
ρ in g/cm³: 10.6
Calculated total energy in eV/f.u.: -16.39
Total magnetization in μB/cell: 0.0
Volume in Å³/cell: 69.64
Uncorrected formation energy in eV/f.u.: 1.75


Computed, not measured: ZnRe2Te after structural relaxation at the PBE-GGA level of DFT.

```
ZnRe2Te
1.0
-4.1855 -0.9146 -1.5670
-1.5653 -4.2847 0.0415
-3.3124 -1.1902 2.9020
Re Te Zn
2 1 1
direct
0.0000 0.0000 0.0000
0.2500 0.2500 0.2500
0.5000 0.5000 0.5000
0.7500 0.7500 0.7500
```

## Properties
ρ in g/cm³: 14.0
Calculated total energy in eV/f.u.: -26.27
E above lowest polymorph in eV/atom: 0.428
Total magnetization in μB/cell: 0.0
Volume in Å³/cell: 67.13
Uncorrected formation energy in eV/f.u.: 3.04


Computed, not measured: ZnRe3Te after structural relaxation at the PBE-GGA level of DFT.

```
ZnRe3Te
1.0
-4.4873 0.6239 -0.6838
-0.7905 -0.8216 4.4377
0.4816 4.4641 0.9123
Re Zn Te
3 1 1
direct
0.0000 0.5000 0.0000
0.0000 0.0000 0.5000
0.5000 0.0000 0.0000
0.0000 0.0000 0.0000
0.5000 0.5000 0.5000
```

## Properties
ρ in g/cm³: 13.0
Calculated total energy in eV/f.u.: -31.15
E above lowest polymorph in eV/atom: 0.000
Total magnetization in μB/cell: 2.3
Volume in Å³/cell: 96.18
Uncorrected formation energy in eV/f.u.: 10.61


Computed, not measured: Zn2ReTe after structural relaxation at the PBE-GGA level of DFT.

```
Zn2ReTe
1.0
5.2315 0.0017 0.0000
2.3011 4.6983 0.0000
-3.7663 -2.3500 2.7679
Re Te Zn
1 1 2
direct
0.2500 0.7500 0.5000
0.7500 0.2500 0.5000
0.0000 0.0000 0.0000
0.5000 0.5000 0.0000
```

## Properties
ρ in g/cm³: 10.9
Calculated total energy in eV/f.u.: -15.67
Total magnetization in μB/cell: 0.1
Volume in Å³/cell: 68.02
Uncorrected formation energy in eV/f.u.: 2.47


Computed, not measured: ZnReTe2 after structural relaxation at the PBE-GGA level of DFT.

```
ZnReTe2
1.0
3.8749 0.0000 0.0000
0.0000 6.3623 0.0143
0.0000 4.3366 4.6563
Re Te Zn
1 2 1
direct
0.5000 0.7500 0.7500
0.0000 0.9053 0.9051
0.0000 0.5947 0.5949
0.5000 0.2500 0.2500
```

## Properties
ρ in g/cm³: 7.3
Calculated total energy in eV/f.u.: -18.52
Total magnetization in μB/cell: 1.0
Volume in Å³/cell: 114.55
Uncorrected formation energy in eV/f.u.: 1.49


Computed, not measured: ZnRe2Te after structural relaxation at the PBE-GGA level of DFT.

```
ZnRe2Te
1.0
-1.1239 -2.7973 5.3975
3.5523 -3.8640 3.2668
-1.0272 5.4308 -2.7699
Re Te Zn
2 1 1
direct
0.9383 0.9383 0.0000
0.7495 0.2495 0.5000
0.5376 0.5376 0.0000
0.2746 0.7746 0.5000
```

## Properties
ρ in g/cm³: 13.0
Calculated total energy in eV/f.u.: -26.72
E above lowest polymorph in eV/atom: 0.317
Total magnetization in μB/cell: 0.0
Volume in Å³/cell: 72.48
Uncorrected formation energy in eV/f.u.: 2.59


Computed, not measured: ZnRe2Te after structural relaxation at the PBE-GGA level of DFT.

```
ZnRe2Te
1.0
4.4507 0.0000 0.0000
0.0000 4.4507 0.0000
0.0000 0.0000 3.2377
Re Te Zn
2 1 1
direct
0.0000 0.0000 0.0000
0.5000 0.5000 0.0000
0.5000 0.0000 0.5000
0.0000 0.5000 0.5000
```

## Properties
ρ in g/cm³: 14.6
Calculated total energy in eV/f.u.: -26.32
E above lowest polymorph in eV/atom: 0.417
Total magnetization in μB/cell: 0.0
Volume in Å³/cell: 64.14
Uncorrected formation energy in eV/f.u.: 3.00


Computed, not measured: ZnReTe2 after structural relaxation at the PBE-GGA level of DFT.

```
ZnReTe2
1.0
-3.0079 3.7973 -0.2846
-3.3623 0.1753 -3.4946
-4.6919 -0.5321 1.1184
Re Te Zn
1 2 1
direct
0.5000 0.5000 0.5000
0.0000 0.0000 0.0000
0.2500 0.2500 0.2500
0.7500 0.7500 0.7500
```

## Properties
ρ in g/cm³: 10.4
Calculated total energy in eV/f.u.: -15.82
Total magnetization in μB/cell: 0.0
Volume in Å³/cell: 80.80
Uncorrected formation energy in eV/f.u.: 4.18


Computed, not measured: ZnReTe2 after structural relaxation at the PBE-GGA level of DFT.

```
ZnReTe2
1.0
4.7563 0.0000 0.0000
0.0000 5.0931 0.0000
0.0000 0.0000 3.3229
Re Te Zn
1 2 1
direct
0.0000 0.5000 0.5000
0.0000 0.0000 0.0000
0.5000 0.5000 0.0000
0.5000 0.0000 0.5000
```

## Properties
ρ in g/cm³: 10.5
Calculated total energy in eV/f.u.: -16.87
Total magnetization in μB/cell: 0.5
Volume in Å³/cell: 80.50
Uncorrected formation energy in eV/f.u.: 3.13


Computed, not measured: ZnReTe2 after structural relaxation at the PBE-GGA level of DFT.

```
ZnReTe2
1.0
-1.3814 2.7949 0.2162
-1.8804 -2.4955 -0.0563
0.4601 -0.5827 10.4709
Re Te Zn
1 2 1
direct
0.5000 0.5000 0.7500
0.0000 0.0000 0.9596
0.0000 0.0000 0.5404
0.5000 0.5000 0.2500
```

## Properties
ρ in g/cm³: 9.2
Calculated total energy in eV/f.u.: -17.33
Total magnetization in μB/cell: 0.0
Volume in Å³/cell: 91.59
Uncorrected formation energy in eV/f.u.: 2.67


Computed, not measured: ZnReTe2 after structural relaxation at the PBE-GGA level of DFT.

```
ZnReTe2
1.0
3.2331 0.0000 0.0000
0.0000 3.2331 0.0000
0.0000 0.0000 9.0022
Re Te Zn
1 2 1
direct
0.5000 0.5000 0.7500
0.0000 0.0000 0.9384
0.0000 0.0000 0.5616
0.5000 0.5000 0.2500
```

## Properties
ρ in g/cm³: 8.9
Calculated total energy in eV/f.u.: -18.32
Total magnetization in μB/cell: 0.0
Volume in Å³/cell: 94.10
Uncorrected formation energy in eV/f.u.: 1.69


Computed, not measured: Zn2ReTe after structural relaxation at the PBE-GGA level of DFT.

```
Zn2ReTe
1.0
-0.7182 -0.4560 4.8714
-2.7804 -1.3075 -0.5323
2.0238 -4.1381 -0.0890
Re Te Zn
1 1 2
direct
0.5000 0.2500 0.2500
0.5000 0.7500 0.7500
0.0000 0.0076 0.0225
0.0000 0.4924 0.4775
```

## Properties
ρ in g/cm³: 10.4
Calculated total energy in eV/f.u.: -15.61
Total magnetization in μB/cell: 0.0
Volume in Å³/cell: 71.04
Uncorrected formation energy in eV/f.u.: 2.53


Computed, not measured: ZnRe3Te after structural relaxation at the PBE-GGA level of DFT.

```
ZnRe3Te
1.0
4.8307 0.0000 0.0000
0.0000 4.8307 0.0000
0.0000 0.0000 4.8307
Re Zn Te
3 1 1
direct
0.0000 0.5000 0.0000
0.0000 0.0000 0.5000
0.5000 0.0000 0.0000
0.5000 0.5000 0.5000
0.0000 0.0000 0.0000
```

## Properties
ρ in g/cm³: 11.1
Calculated total energy in eV/f.u.: -29.09
E above lowest polymorph in eV/atom: 0.413
Total magnetization in μB/cell: 2.1
Volume in Å³/cell: 112.73
Uncorrected formation energy in eV/f.u.: 12.67


Computed, not measured: ZnReTe2 after structural relaxation at the PBE-GGA level of DFT.

```
ZnReTe2
1.0
9.4972 -0.0200 -0.0118
8.8871 3.3490 -0.0118
8.8871 1.6092 2.9370
Re Te Zn
1 2 1
direct
0.7500 0.7500 0.7500
0.0154 0.0154 0.0154
0.4846 0.4846 0.4846
0.2500 0.2500 0.2500
```

## Properties
ρ in g/cm³: 8.9
Calculated total energy in eV/f.u.: -18.43
Total magnetization in μB/cell: 0.0
Volume in Å³/cell: 94.30
Uncorrected formation energy in eV/f.u.: 1.58


Computed, not measured: Zn2ReTe after structural relaxation at the PBE-GGA level of DFT.

```
Zn2ReTe
1.0
-4.1612 -8.8654 -0.6671
5.0991 -1.7765 -8.1975
2.3220 -6.2933 -3.0690
Re Zn Te
2 4 2
direct
0.0000 0.0000 0.0000
0.7500 0.2500 0.5000
0.8741 0.1250 0.2500
0.8759 0.6250 0.2500
0.3750 0.1259 0.7500
0.8750 0.1241 0.7500
0.5000 0.5000 0.0000
0.2500 0.7500 0.5000
```

## Properties
ρ in g/cm³: 6.1
Calculated total energy in eV/f.u.: -15.58
Total magnetization in μB/cell: 0.0
Volume in Å³/cell: 240.65
Uncorrected formation energy in eV/f.u.: 2.56


Computed, not measured: Zn2ReTe after structural relaxation at the PBE-GGA level of DFT.

```
Zn2ReTe
1.0
4.7868 0.0003 0.0114
3.7573 2.9657 0.0114
0.6093 0.2115 5.0114
Re Te Zn
1 1 2
direct
0.5003 0.5003 0.4908
0.7736 0.7736 0.7101
0.9887 0.9887 0.0531
0.2374 0.2374 0.2460
```

## Properties
ρ in g/cm³: 10.4
Calculated total energy in eV/f.u.: -16.33
Total magnetization in μB/cell: 0.0
Volume in Å³/cell: 71.11
Uncorrected formation energy in eV/f.u.: 1.81


Computed, not measured: Zn2ReTe after structural relaxation at the PBE-GGA level of DFT.

```
Zn2ReTe
1.0
5.0146 -0.0205 0.0282
3.8174 3.2518 0.0282
0.9947 0.3639 4.2898
Re Te Zn
1 1 2
direct
0.2500 0.2500 0.2500
0.7500 0.7500 0.7500
0.9857 0.9857 0.0491
0.5143 0.5143 0.4509
```

## Properties
ρ in g/cm³: 10.5
Calculated total energy in eV/f.u.: -15.87
Total magnetization in μB/cell: 0.0
Volume in Å³/cell: 70.18
Uncorrected formation energy in eV/f.u.: 2.27


Computed, not measured: ZnRe2Te after structural relaxation at the PBE-GGA level of DFT.

```
ZnRe2Te
1.0
8.5755 0.0014 0.0008
8.0402 2.9822 0.0008
8.0402 1.4438 2.6094
Re Te Zn
2 1 1
direct
0.9996 0.9996 0.9996
0.5004 0.5004 0.5004
0.2500 0.2500 0.2500
0.7500 0.7500 0.7500
```

## Properties
ρ in g/cm³: 14.1
Calculated total energy in eV/f.u.: -26.16
E above lowest polymorph in eV/atom: 0.457
Total magnetization in μB/cell: 0.0
Volume in Å³/cell: 66.68
Uncorrected formation energy in eV/f.u.: 3.15


Computed, not measured: ZnReTe2 after structural relaxation at the PBE-GGA level of DFT.

```
ZnReTe2
1.0
10.5324 0.0335 0.0197
10.0342 3.2013 0.0197
10.0342 1.5782 2.7853
Re Te Zn
1 2 1
direct
0.7540 0.7540 0.7540
0.0263 0.0263 0.0263
0.2347 0.2347 0.2347
0.4850 0.4850 0.4850
```

## Properties
ρ in g/cm³: 9.1
Calculated total energy in eV/f.u.: -18.69
Total magnetization in μB/cell: 0.0
Volume in Å³/cell: 92.34
Uncorrected formation energy in eV/f.u.: 1.31


Computed, not measured: Zn2ReTe after structural relaxation at the PBE-GGA level of DFT.

```
Zn2ReTe
1.0
4.6080 0.0000 0.0000
2.3040 3.9906 0.0000
2.3040 1.3302 3.7624
Re Te Zn
1 1 2
direct
0.5000 0.5000 0.5000
0.7500 0.7500 0.7500
0.0000 0.0000 0.0000
0.2500 0.2500 0.2500
```

## Properties
ρ in g/cm³: 10.7
Calculated total energy in eV/f.u.: -15.39
Total magnetization in μB/cell: 0.0
Volume in Å³/cell: 69.19
Uncorrected formation energy in eV/f.u.: 2.75


Computed, not measured: ZnRe2Te after structural relaxation at the PBE-GGA level of DFT.

```
ZnRe2Te
1.0
-1.2874 -0.5116 2.9075
0.6480 -3.1436 -0.2662
5.5613 0.9240 2.6250
Re Te Zn
2 1 1
direct
0.0000 0.0000 0.9736
0.0000 0.0000 0.5264
0.5000 0.5000 0.2500
0.5000 0.5000 0.7500
```

## Properties
ρ in g/cm³: 14.6
Calculated total energy in eV/f.u.: -26.51
E above lowest polymorph in eV/atom: 0.368
Total magnetization in μB/cell: 0.0
Volume in Å³/cell: 64.51
Uncorrected formation energy in eV/f.u.: 2.80


Computed, not measured: ZnRe2Te after structural relaxation at the PBE-GGA level of DFT.

```
ZnRe2Te
1.0
-3.8651 2.0292 1.5410
-4.2197 1.2718 -1.4170
-2.6976 -4.1087 1.3755
Re Te Zn
2 1 1
direct
0.9994 0.9994 0.9652
0.5006 0.5006 0.5348
0.2500 0.2500 0.2500
0.7500 0.7500 0.7500
```

## Properties
ρ in g/cm³: 14.0
Calculated total energy in eV/f.u.: -26.64
E above lowest polymorph in eV/atom: 0.336
Total magnetization in μB/cell: 0.0
Volume in Å³/cell: 67.28
Uncorrected formation energy in eV/f.u.: 2.67


Computed, not measured: Zn2ReTe after structural relaxation at the PBE-GGA level of DFT.

```
Zn2ReTe
1.0
3.0011 0.0101 0.0000
-1.4389 2.6337 0.0000
0.0000 0.0000 9.8063
Re Te Zn
1 1 2
direct
0.0000 0.0000 0.4828
0.5000 0.5000 0.7077
0.0000 0.0000 0.0439
0.5000 0.5000 0.2656
```

## Properties
ρ in g/cm³: 9.5
Calculated total energy in eV/f.u.: -15.77
Total magnetization in μB/cell: 0.0
Volume in Å³/cell: 77.65
Uncorrected formation energy in eV/f.u.: 2.36


Computed, not measured: Zn2ReTe after structural relaxation at the PBE-GGA level of DFT.

```
Zn2ReTe
1.0
-2.9662 0.6009 -1.8352
-2.3324 -2.0973 3.0830
-0.5640 3.7930 2.1537
Re Te Zn
1 1 2
direct
0.5000 0.5000 0.0000
0.5000 0.0000 0.5000
0.0000 0.0000 0.0000
0.0000 0.5000 0.5000
```

## Properties
ρ in g/cm³: 10.8
Calculated total energy in eV/f.u.: -15.50
Total magnetization in μB/cell: 0.0
Volume in Å³/cell: 68.47
Uncorrected formation energy in eV/f.u.: 2.64